Entry 1:
Below is a relaxed structure of Al5ZnTc, with properties calculated at the PBE level.

Calculated values
- space group = Imm2 (44)
- total energy (eV per atom) = -3.812

Cell lengths 6.388, 6.388, 6.388 Å; angles 112.55, 83.29, 137.17 degrees
Fractional positions:
Al (0.000, 0.000, 0.000)
Al (0.069, 0.320, 0.750)
Al (0.294, 0.622, 0.328)
Al (0.294, 0.965, 0.672)
Al (0.570, 0.320, 0.250)
Zn (0.513, 0.513, 0.000)
Tc (0.796, 0.296, 0.500)

Entry 2:
Below is a relaxed structure of TiAl3Pt, with properties calculated at the PBE level.

Calculated values
- space group = Pm-3m (221)
- total energy (eV per atom) = -4.919

Cell lengths 4.711, 4.711, 4.711 Å; angles 90.00, 90.00, 90.00 degrees
Fractional positions:
Ti (0.000, 0.000, 0.000)
Al (0.000, 0.500, 0.500)
Al (0.500, 0.000, 0.500)
Al (0.500, 0.500, 0.000)
Pt (0.500, 0.500, 0.500)

Entry 3:
Below is a relaxed structure of Tl2HgPd, with properties calculated at the PBE level.

Calculated values
- space group = P4/mmm (123)
- total energy (eV per atom) = -2.495

Cell lengths 5.157, 5.157, 3.559 Å; angles 90.00, 90.00, 90.00 degrees
Fractional positions:
Tl (0.000, 0.500, 0.000)
Tl (0.500, 0.000, 0.000)
Hg (0.000, 0.000, 0.500)
Pd (0.500, 0.500, 0.500)

Entry 4:
Below is a relaxed structure of YPdF5, with properties calculated at the PBE level.

Calculated values
- space group = P-1 (2)
- formation energy (no corrections) (eV per atom) = -2.800

Cell lengths 4.380, 5.319, 5.834 Å; angles 91.91, 99.77, 109.39 degrees
Fractional positions:
Y (0.000, 0.000, 0.000)
Pd (0.000, 0.500, 0.500)
F (0.106, 0.355, 0.804)
F (0.172, 0.253, 0.336)
F (0.500, 0.000, 0.000)
F (0.828, 0.747, 0.664)
F (0.894, 0.645, 0.196)

Entry 5:
Below is a relaxed structure of Pu3Th4Se8, with properties calculated at the PBE level.

Calculated values
- space group = C2/m (12)
- formation energy (no corrections) (eV per atom) = -1.574

Cell lengths 8.312, 8.312, 8.324 Å; angles 119.88, 119.88, 90.11 degrees
Fractional positions:
Pu (0.000, 0.000, 0.000)
Pu (0.000, 0.500, 0.000)
Pu (0.500, 0.000, 0.000)
Th (0.000, 0.500, 0.500)
Th (0.500, 0.000, 0.500)
Th (0.500, 0.500, 0.000)
Th (0.500, 0.500, 0.500)
Se (0.239, 0.239, 0.496)
Se (0.243, 0.243, 0.990)
Se (0.243, 0.757, 0.500)
Se (0.247, 0.753, 0.000)
Se (0.753, 0.247, 0.000)
Se (0.757, 0.243, 0.500)
Se (0.757, 0.757, 0.010)
Se (0.761, 0.761, 0.504)

Entry 6:
Below is a relaxed structure of SnPbAu3, with properties calculated at the PBE level.

Calculated values
- space group = P2_1/c (14)
- total energy (eV per atom) = -3.594

Cell lengths 9.677, 5.928, 8.111 Å; angles 90.00, 96.86, 90.00 degrees
Fractional positions:
Sn (0.078, 0.222, 0.373)
Sn (0.078, 0.278, 0.873)
Sn (0.922, 0.722, 0.127)
Sn (0.922, 0.778, 0.627)
Pb (0.401, 0.607, 0.811)
Pb (0.401, 0.893, 0.311)
Pb (0.599, 0.107, 0.689)
Pb (0.599, 0.393, 0.189)
Au (0.123, 0.698, 0.411)
Au (0.123, 0.802, 0.911)
Au (0.253, 0.018, 0.646)
Au (0.253, 0.482, 0.146)
Au (0.373, 0.127, 0.975)
Au (0.373, 0.373, 0.475)
Au (0.627, 0.627, 0.525)
Au (0.627, 0.873, 0.025)
Au (0.747, 0.518, 0.854)
Au (0.747, 0.982, 0.354)
Au (0.877, 0.198, 0.089)
Au (0.877, 0.302, 0.589)

Copy entry 6 word for word.
Below is a relaxed structure of SnPbAu3, with properties calculated at the PBE level.

Calculated values
- space group = P2_1/c (14)
- total energy (eV per atom) = -3.594

Cell lengths 9.677, 5.928, 8.111 Å; angles 90.00, 96.86, 90.00 degrees
Fractional positions:
Sn (0.078, 0.222, 0.373)
Sn (0.078, 0.278, 0.873)
Sn (0.922, 0.722, 0.127)
Sn (0.922, 0.778, 0.627)
Pb (0.401, 0.607, 0.811)
Pb (0.401, 0.893, 0.311)
Pb (0.599, 0.107, 0.689)
Pb (0.599, 0.393, 0.189)
Au (0.123, 0.698, 0.411)
Au (0.123, 0.802, 0.911)
Au (0.253, 0.018, 0.646)
Au (0.253, 0.482, 0.146)
Au (0.373, 0.127, 0.975)
Au (0.373, 0.373, 0.475)
Au (0.627, 0.627, 0.525)
Au (0.627, 0.873, 0.025)
Au (0.747, 0.518, 0.854)
Au (0.747, 0.982, 0.354)
Au (0.877, 0.198, 0.089)
Au (0.877, 0.302, 0.589)